1.
DFT (PBE-GGA) results for a geometry-optimized BC3 structure.

Cell lengths 4.5070, 4.5070, 7.5853 Å; angles 114.69, 114.69, 32.37 degrees
Closest atoms and distances in Å follow each position.
Atoms (fractional coordinates):
B (0.0000, 0.0000, 0.0000)  2 C 1.61, 2 B 1.78
B (0.5005, 0.5005, 0.1670)  2 C 1.59-1.60
B (0.8261, 0.8261, 0.3173)  4 C 1.64-1.67
C (0.1599, 0.1599, 0.4848)  4 C 1.51-1.62
C (0.1728, 0.1728, 0.9694)  3 C 1.52-1.54, 1 B 1.61
C (0.3189, 0.3189, 0.1744)  1 C 1.52, 3 B 1.60-1.64
C (0.3328, 0.3328, 0.6894)  4 C 1.52-1.62
C (0.4976, 0.4976, 0.6475)  4 C 1.54-1.60
C (0.6617, 0.6617, 0.3747)  2 C 1.51, 2 B 1.59-1.66
C (0.6691, 0.6691, 0.8493)  4 C 1.54-1.60
C (0.8264, 0.8264, 0.7996)  3 C 1.52-1.56, 1 B 1.61
C (0.9994, 0.9994, 0.5318)  3 C 1.54-1.58, 1 B 1.67

Output
Excess energy over the best structure of this formula in the dataset ... 0.057 eV/atom
Volume ... 74 Å³/cell
Space-group type ... Cm


2.
DFT (PBE-GGA) results for a geometry-optimized CePaNi structure.

Cell lengths 3.4885, 3.4885, 10.9604 Å; angles 90.00, 90.00, 90.00 degrees
Closest atoms and distances in Å follow each position.
Atoms (fractional coordinates):
Ce (0.0000, 0.0000, 0.0000)  1 Pa 3.07, 4 Ni 3.19
Ce (0.5000, 0.5000, 0.5000)  1 Pa 3.07, 4 Ni 3.19
Pa (0.0000, 0.0000, 0.7195)  4 Ni 2.68
Pa (0.5000, 0.5000, 0.2195)  4 Ni 2.68
Ni (0.0000, 0.0000, 0.3150)  4 Pa 2.68
Ni (0.5000, 0.5000, 0.8150)  4 Pa 2.68

Output
Excess energy over the best structure of this formula in the dataset ... 0.000 eV/atom
Volume ... 133 Å³/cell
Space-group type ... I4mm


3.
DFT (PBE-GGA) results for a geometry-optimized DyAlInAu structure.

Cell lengths 7.0185, 7.0185, 7.0185 Å; angles 90.00, 90.00, 90.00 degrees
Closest atoms and distances in Å follow each position.
Atoms (fractional coordinates):
Dy (0.0000, 0.0000, 0.0000)  4 In 3.04, 4 Au 3.04
Dy (0.0000, 0.5000, 0.5000)  4 In 3.04, 4 Au 3.04
Dy (0.5000, 0.0000, 0.5000)  4 In 3.04, 4 Au 3.04
Dy (0.5000, 0.5000, 0.0000)  4 In 3.04, 4 Au 3.04
Al (0.0000, 0.0000, 0.5000)  4 In 3.04, 4 Au 3.04
Al (0.0000, 0.5000, 0.0000)  4 In 3.04, 4 Au 3.04
Al (0.5000, 0.0000, 0.0000)  4 In 3.04, 4 Au 3.04
Al (0.5000, 0.5000, 0.5000)  4 In 3.04, 4 Au 3.04
In (0.2500, 0.2500, 0.7500)  4 Dy 3.04, 4 Al 3.04
In (0.2500, 0.7500, 0.2500)  4 Dy 3.04, 4 Al 3.04
In (0.7500, 0.2500, 0.2500)  4 Dy 3.04, 4 Al 3.04
In (0.7500, 0.7500, 0.7500)  4 Dy 3.04, 4 Al 3.04
Au (0.2500, 0.2500, 0.2500)  4 Dy 3.04, 4 Al 3.04
Au (0.2500, 0.7500, 0.7500)  4 Dy 3.04, 4 Al 3.04
Au (0.7500, 0.2500, 0.7500)  4 Dy 3.04, 4 Al 3.04
Au (0.7500, 0.7500, 0.2500)  4 Dy 3.04, 4 Al 3.04

Output
Volume ... 346 Å³/cell
Space-group type ... F-43m


Quick rundown of E_form, same order as above: 29 -11 -40 kJ per mole of atoms
Quick rundown of VASP energy, same order as above: -99.47 -43.08 -64.07 eV for the cell shown